Record 1
## Ca3PtW (PBE)

Data for crystalline Ca3PtW at its relaxed geometry.

Structure (POSCAR):
```
Ca3PtW
1.0
5.310 0.000 0.000
0.000 5.310 0.000
0.000 0.000 5.310
Ca Pt W
3 1 1
Direct
0.000 0.000 0.500 Ca
0.000 0.500 0.000 Ca
0.500 0.000 0.000 Ca
0.500 0.500 0.500 Pt
0.000 0.000 0.000 W
```

Results
As for the energy: -3.844 eV/atom. The calculation puts the energy above the most stable polymorph in this dataset at 556.5 meV/atom. As for the space group: Pm-3m, No. 221. As for the energy relative to the elements: 1.156 eV/atom.



Record 2
## PaB5 (PBE)

Data for crystalline PaB5 at its relaxed geometry.

Structure (POSCAR):
```
PaB5
1.0
3.137 0.000 0.000
0.000 9.221 0.000
0.000 0.000 4.231
Pa B
2 10
Direct
0.000 0.000 0.000 Pa
0.500 0.500 0.000 Pa
0.000 0.281 0.000 B
0.000 0.314 0.500 B
0.000 0.500 0.500 B
0.000 0.686 0.500 B
0.000 0.719 0.000 B
0.500 0.000 0.500 B
0.500 0.186 0.500 B
0.500 0.219 0.000 B
0.500 0.781 0.000 B
0.500 0.814 0.500 B
```

Results
As for the energy: -6.862 eV/atom. As for the space group: Cmmm, No. 65. As for the energy relative to the elements: 0.285 eV/atom.



Record 3
## LaY2Pb2 (PBE)

Data for crystalline LaY2Pb2 at its relaxed geometry.

Structure (POSCAR):
```
LaY2Pb2
1.0
4.804 0.000 0.000
0.000 4.804 0.000
0.000 0.000 14.089
La Y Pb
2 4 4
Direct
0.000 0.000 0.000 La
0.500 0.500 0.500 La
0.000 0.500 0.250 Y
0.000 0.500 0.750 Y
0.500 0.000 0.250 Y
0.500 0.000 0.750 Y
0.000 0.000 0.395 Pb
0.000 0.000 0.605 Pb
0.500 0.500 0.105 Pb
0.500 0.500 0.895 Pb
```

Results
As for the energy: -5.442 eV/atom. The calculation puts the energy above the most stable polymorph in this dataset at 108.2 meV/atom. As for the space group: I4/mmm, No. 139. As for the energy relative to the elements: -0.387 eV/atom.



Record 4
## PmSm5Y2Ho (PBE)

Data for crystalline PmSm5Y2Ho at its relaxed geometry.

Structure (POSCAR):
```
PmSm5Y2Ho
1.0
2.833 -10.134 0.000
2.833 10.134 0.000
0.000 0.000 10.690
Pm Sm Y Ho
2 10 4 2
Direct
0.203 0.797 0.500 Pm
0.797 0.203 0.000 Pm
0.018 0.982 0.514 Sm
0.282 0.718 0.798 Sm
0.298 0.702 0.195 Sm
0.394 0.606 0.516 Sm
0.479 0.521 0.232 Sm
0.521 0.479 0.732 Sm
0.606 0.394 0.016 Sm
0.702 0.298 0.695 Sm
0.718 0.282 0.298 Sm
0.982 0.018 0.014 Sm
0.110 0.890 0.227 Y
0.116 0.884 0.811 Y
0.884 0.116 0.311 Y
0.890 0.110 0.727 Y
0.411 0.589 0.948 Ho
0.589 0.411 0.448 Ho
```

Results
As for the energy: -4.951 eV/atom. As for the space group: Cmc2_1, No. 36. As for the energy relative to the elements: 0.144 eV/atom.



Record 5
## KIrI2 (PBE)

Data for crystalline KIrI2 at its relaxed geometry.

Structure (POSCAR):
```
KIrI2
1.0
6.953 0.000 0.000
0.000 6.953 0.000
0.000 0.000 13.771
K Ir I
4 4 8
Direct
0.000 0.000 0.000 K
0.000 0.500 0.250 K
0.500 0.000 0.750 K
0.500 0.500 0.500 K
0.000 0.000 0.500 Ir
0.000 0.500 0.750 Ir
0.500 0.000 0.250 Ir
0.500 0.500 0.000 Ir
0.142 0.250 0.625 I
0.250 0.642 0.875 I
0.250 0.858 0.375 I
0.358 0.250 0.125 I
0.642 0.750 0.125 I
0.750 0.142 0.375 I
0.750 0.358 0.875 I
0.858 0.750 0.625 I
```

Results
As for the energy: -3.309 eV/atom. Its uncorrected formation energy is -0.044 eV/atom. The calculation puts the energy above the most stable polymorph in this dataset at 0.0 meV/atom. As for the space group: I-42d, No. 122.



Record 6
## Dy6CdCo2 (PBE)

Data for crystalline Dy6CdCo2 at its relaxed geometry.

Structure (POSCAR):
```
Dy6CdCo2
1.0
-4.669 4.827 4.989
4.669 -4.827 4.989
4.669 4.827 -4.989
Dy Cd Co
12 2 4
Direct
0.016 0.226 0.790 Dy
0.187 0.291 0.478 Dy
0.187 0.709 0.896 Dy
0.315 0.013 0.698 Dy
0.315 0.617 0.302 Dy
0.436 0.226 0.210 Dy
0.564 0.774 0.790 Dy
0.685 0.383 0.698 Dy
0.685 0.987 0.302 Dy
0.813 0.291 0.104 Dy
0.813 0.709 0.522 Dy
0.984 0.774 0.210 Dy
0.000 0.000 0.000 Cd
0.500 0.500 0.000 Cd
0.112 0.612 0.500 Co
0.379 0.000 0.379 Co
0.621 0.000 0.621 Co
0.888 0.388 0.500 Co
```

Results
As for the energy: -4.957 eV/atom. As for the space group: Immm, No. 71. As for the energy relative to the elements: -0.209 eV/atom.



How do the records compare in M_tot? In the order shown, they have 0.0 0.0 1.4 0.0 0.0 0.0 μB per cell.